(1)
DFT (GGA-PBE) results for PrYEr3 after structural relaxation.

Lattice parameters (Å, degrees): 6.269 5.685 9.588 90.00 109.03 90.00
Fractional coordinates of all 10 atoms:
Pr 0.067 0.250 0.300
Pr 0.933 0.750 0.700
Y 0.466 0.250 0.100
Y 0.534 0.750 0.900
Er 0.133 0.750 0.099
Er 0.267 0.250 0.700
Er 0.335 0.750 0.499
Er 0.665 0.250 0.501
Er 0.733 0.750 0.300
Er 0.867 0.250 0.901

Summary:
Energy of formation from the pure elements   0.012 eV/atom
Fermi-level density of states   19.953 states/eV/cell
Magnetic moment   0.000 μB per atom
E_tot   -4.974 eV/atom
E above lowest polymorph   0.000 eV per atom

---

(2)
DFT (GGA-PBE) results for Ta2BiRh2 after structural relaxation.

Lattice parameters (Å, degrees): 7.934 7.934 2.950 90.00 90.00 90.00
Fractional coordinates of all 10 atoms:
Ta 0.150 0.350 0.000
Ta 0.350 0.850 0.000
Ta 0.650 0.150 0.000
Ta 0.850 0.650 0.000
Bi 0.000 0.000 0.500
Bi 0.500 0.500 0.500
Rh 0.137 0.637 0.500
Rh 0.363 0.137 0.500
Rh 0.637 0.863 0.500
Rh 0.863 0.363 0.500

Summary:
Energy of formation from the pure elements   -0.149 eV/atom
Fermi-level density of states   7.913 states/eV/cell
Magnetic moment   0.000 μB per atom
E_tot   -8.607 eV/atom

---

(3)
DFT (GGA-PBE) results for Ba2ZrAu after structural relaxation.

Lattice parameters (Å, degrees): 10.895 10.895 10.895 20.79 20.79 20.79
Fractional coordinates of all 4 atoms:
Ba 0.242 0.242 0.242
Ba 0.758 0.758 0.758
Zr 0.000 0.000 0.000
Au 0.500 0.500 0.500

Summary:
Energy of formation from the pure elements   0.237 eV/atom
Fermi-level density of states   6.128 states/eV/cell
Magnetic moment   0.162 μB per atom
E_tot   -3.681 eV/atom
E above lowest polymorph   0.291 eV per atom

---

(4)
DFT (GGA-PBE) results for ZrBeH2Pt after structural relaxation.

Lattice parameters (Å, degrees): 3.609 3.609 5.360 90.00 90.00 90.00
Fractional coordinates of all 5 atoms:
Zr 0.000 0.000 0.000
Be 0.500 0.500 0.000
H 0.000 0.500 0.500
H 0.500 0.000 0.500
Pt 0.000 0.000 0.500

Summary:
Fermi-level density of states   2.666 states/eV/cell
Magnetic moment   0.000 μB per atom
E_tot   -4.573 eV/atom

---

(5)
DFT (GGA-PBE) results for Zn2IrRu after structural relaxation.

Lattice parameters (Å, degrees): 4.707 4.707 4.592 99.62 99.62 34.54
Fractional coordinates of all 4 atoms:
Zn 0.000 0.000 0.000
Zn 0.241 0.241 0.762
Ir 0.751 0.751 0.267
Ru 0.490 0.490 0.495

Summary:
Energy of formation from the pure elements   -0.028 eV/atom
Fermi-level density of states   3.213 states/eV/cell
Magnetic moment   0.000 μB per atom
E_tot   -5.199 eV/atom
E above lowest polymorph   0.036 eV per atom

---

(6)
DFT (GGA-PBE) results for AlNiPb2 after structural relaxation.

Lattice parameters (Å, degrees): 5.712 5.712 5.712 135.98 135.98 64.01
Fractional coordinates of all 4 atoms:
Al 0.000 0.000 0.000
Ni 0.250 0.750 0.500
Pb 0.500 0.500 0.000
Pb 0.750 0.250 0.500

Summary:
Energy of formation from the pure elements   0.405 eV/atom
Fermi-level density of states   3.516 states/eV/cell
Magnetic moment   0.000 μB per atom
E_tot   -3.831 eV/atom

---

What is the magnetic moment in the third record?
0.162 μB per atom